# 1
The following is a DFT calculation (GGA-PBE) of a geometry-optimized CuAgRh4 structure.

The structure belongs to space group F-43m (No. 216); the cell edges are 7.261, 7.261 and 7.261 Å and the angles 90.00°, 90.00° and 90.00°. The asymmetric unit holds Cu at (0.000, 0.000, 0.000), Ag at (0.250, 0.250, 0.250) and Rh at (0.125, 0.125, 0.625).

The total DFT energy (no corrections) is -5.611 eV per atom. The total magnetization comes out at 2.7 μB/f.u. The calculation puts the theoretical density at 10.12 g/cm3.

=====

# 2
The following is a DFT calculation (GGA-PBE) of a geometry-optimized BSbSCl2 structure.

The structure belongs to space group P4/mmm (No. 123); the cell edges are 5.268, 5.268 and 5.163 Å and the angles 90.00°, 90.00° and 90.00°. The asymmetric unit holds B at (0.000, 0.000, 0.000), Sb at (0.500, 0.500, 0.500), S at (0.500, 0.500, 0.000) and Cl at (0.000, 0.500, 0.500).

The calculation puts the energy relative to the elements, uncorrected at 0.746 eV/atom. The total magnetization comes out at 0.2 μB/f.u. The calculation puts the theoretical density at 2.73 g/cm3. The distance to the lowest polymorph of the same formula comes out at 344 meV/atom.

=====

- Look up the theoretical density of the first one.
  10.12 g/cm3